Dy8Ir5Pd: relaxed, PBE-GGA.

Summary:
- Energy: -194.55 eV for the cell shown
- Energy of formation: -783 meV/atom
- Crystal system: tetragonal

Unit cell a=8.611 b=8.611 c=8.600 alpha=90.00 beta=90.00 gamma=90.00
Space group I-4 (No. 82)
Inequivalent atoms, fractional coordinates:
1 Dy 0.066 0.181 0.192
2 Dy 0.066 0.313 0.567
3 Ir 0.000 0.000 0.500
4 Ir 0.128 0.248 0.879
5 Pd 0.000 0.500 0.250

Cs4Br3F: relaxed, PBE-GGA.

Summary:
- Energy: -103.95 eV for the cell shown
- Crystal system: orthorhombic
- Formation energy from raw total energies: -1.96 eV/atom

Unit cell a=9.657 b=12.915 c=11.323 alpha=90.00 beta=90.00 gamma=90.00
Space group Pnma (No. 62)
Inequivalent atoms, fractional coordinates:
1 Cs 0.027 0.250 0.174
2 Cs 0.217 0.037 0.483
3 Cs 0.241 0.750 0.239
4 Br 0.005 0.032 0.775
5 Br 0.131 0.750 0.539
6 F 0.201 0.750 0.982

DyCdPd: relaxed, PBE-GGA.

Summary:
- Energy: -12.35 eV for the cell shown
- Energy of formation: -548 meV/atom
- Crystal system: hexagonal

Unit cell a=4.7058 b=4.7058 c=3.4747 alpha=90.00 beta=90.00 gamma=120.00
Space group P-6m2 (No. 187)
Inequivalent atoms, fractional coordinates:
1 Dy 0.0000 0.0000 0.0000
2 Cd 0.3333 0.6667 0.5000
3 Pd 0.6667 0.3333 0.5000

Mg2MnP: relaxed, PBE-GGA.

Summary:
- Energy: -69.47 eV for the cell shown
- Energy of formation: 100 meV/atom
- Crystal system: tetragonal

Unit cell a=8.572 b=8.572 c=4.684 alpha=90.00 beta=90.00 gamma=90.00
Space group I-42d (No. 122)
Inequivalent atoms, fractional coordinates:
1 Mg 0.147 0.250 0.125
2 Mn 0.000 0.000 0.500
3 P 0.000 0.000 0.000

NaTl2Pt2: relaxed, PBE-GGA.

Summary:
- Energy: -37.52 eV for the cell shown
- Energy of formation: -126 meV/atom
- Crystal system: tetragonal

Unit cell a=7.679 b=7.679 c=3.574 alpha=90.00 beta=90.00 gamma=90.00
Space group P4/mbm (No. 127)
Inequivalent atoms, fractional coordinates:
1 Na 0.000 0.000 0.000
2 Tl 0.168 0.332 0.500
3 Pt 0.131 0.631 0.000

Cs2NaGe2Cl7: relaxed, PBE-GGA.

Summary:
- Energy: -82.59 eV for the cell shown
- Crystal system: monoclinic
- Formation energy from raw total energies: -1.34 eV/atom

Unit cell a=7.120 b=8.499 c=13.574 alpha=90.00 beta=97.51 gamma=90.00
Space group C2/m (No. 12)
Inequivalent atoms, fractional coordinates:
1 Cs 0.210 0.000 0.354
2 Na 0.000 0.000 0.000
3 Ge 0.142 0.500 0.189
4 Cl 0.000 0.500 0.000
5 Cl 0.128 0.196 0.834
6 Cl 0.225 0.500 0.389